1.
DFT (PBE) results for Cs2KSe after structural relaxation.

* formation energy (no corrections): -631 meV per atom
* D(E_F): 3.11 states/eV/f.u.
* crystal system: tetragonal

abc: 4.4679 4.4679 12.2804
angles: 90.00 90.00 90.00
Last column: nearest neighbours and their distance in Å.
Space group P4/mmm (No. 123)
Symmetry-distinct sites (fractional):
Cs: 0.0000 0.0000 0.1476 (multiplicity 2)  1 Cs 3.63, 4 Se 3.64
K: 0.5000 0.5000 0.5000 (multiplicity 1)  4 K 4.47
Se: 0.5000 0.5000 0.0000 (multiplicity 1)  8 Cs 3.64

2.
DFT (PBE) results for Pm2SnCl2 after structural relaxation.

* formation energy (no corrections): -1518 meV per atom
* D(E_F): 1.58 states/eV/f.u.
* crystal system: trigonal

abc: 4.3140 4.3140 30.4478
angles: 90.00 90.00 120.00
Last column: nearest neighbours and their distance in Å.
Space group R-3m (No. 166, hexagonal axes)
Symmetry-distinct sites (fractional):
Pm: 0.0000 0.0000 0.1057 (multiplicity 6)  3 Cl 2.91, 3 Sn 3.11
Sn: 0.0000 0.0000 0.5000 (multiplicity 3)  6 Pm 3.11
Cl: 0.0000 0.0000 0.2771 (multiplicity 6)  3 Pm 2.91

3.
DFT (PBE) results for Np2InGe after structural relaxation.

* electronic total energy: -8.303 eV per atom
* D(E_F): 10.80 states/eV/f.u.
* crystal system: tetragonal

abc: 4.0078 4.0078 5.7833
angles: 90.00 90.00 90.00
Last column: nearest neighbours and their distance in Å.
Space group P4/mmm (No. 123)
Symmetry-distinct sites (fractional):
Np: 0.0000 0.0000 0.2304 (multiplicity 2)  1 Np 2.67
In: 0.5000 0.5000 0.5000 (multiplicity 1)  2 Ge 2.89, 8 Np 3.23
Ge: 0.5000 0.5000 0.0000 (multiplicity 1)  2 In 2.89, 8 Np 3.13

4.
DFT (PBE) results for ThZn2CdAu2 after structural relaxation.

* electronic total energy: -3.315 eV per atom
* D(E_F): 3.81 states/eV/f.u.
* crystal system: trigonal

abc: 4.5560 4.5560 6.9049
angles: 90.00 90.00 120.00
Last column: nearest neighbours and their distance in Å.
Space group P-3m1 (No. 164)
Symmetry-distinct sites (fractional):
Th: 0.0000 0.0000 0.0000 (multiplicity 1)  6 Au 3.16, 6 Zn 3.34, 2 Cd 3.45
Zn: 0.3333 0.6667 0.2992 (multiplicity 2)  3 Au 2.65
Cd: 0.0000 0.0000 0.5000 (multiplicity 1)  6 Zn 2.97, 6 Au 3.13
Au: 0.3333 0.6667 0.7455 (multiplicity 2)  3 Zn 2.65

5.
DFT (PBE) results for FeTcSb2 after structural relaxation.

* formation energy (no corrections): 512 meV per atom
* D(E_F): 5.48 states/eV/f.u.
* crystal system: tetragonal

abc: 3.8761 3.8761 9.6888
angles: 90.00 90.00 90.00
Last column: nearest neighbours and their distance in Å.
Space group I-4m2 (No. 119)
Symmetry-distinct sites (fractional):
Fe: 0.0000 0.0000 0.0000 (multiplicity 2)  4 Sb 2.74
Tc: 0.0000 0.5000 0.2500 (multiplicity 2)  4 Sb 2.74
Sb: 0.0000 0.0000 0.5000 (multiplicity 2)  4 Fe 2.74
Sb: 0.0000 0.5000 0.7500 (multiplicity 2)  4 Tc 2.74

6.
DFT (PBE) results for BeOsW3 after structural relaxation.

* electronic total energy: -8.495 eV per atom
* D(E_F): 4.12 states/eV/f.u.
* crystal system: cubic

abc: 4.7361 4.7361 4.7361
angles: 90.00 90.00 90.00
Last column: nearest neighbours and their distance in Å.
Space group Pm-3m (No. 221)
Symmetry-distinct sites (fractional):
Be: 0.0000 0.0000 0.0000 (multiplicity 1)  12 W 3.35
Os: 0.5000 0.5000 0.5000 (multiplicity 1)  6 W 2.37
W: 0.0000 0.5000 0.5000 (multiplicity 3)  2 Os 2.37

Repeat the sixth record exactly.
DFT (PBE) results for BeOsW3 after structural relaxation.

* electronic total energy: -8.495 eV per atom
* D(E_F): 4.12 states/eV/f.u.
* crystal system: cubic

abc: 4.7361 4.7361 4.7361
angles: 90.00 90.00 90.00
Last column: nearest neighbours and their distance in Å.
Space group Pm-3m (No. 221)
Symmetry-distinct sites (fractional):
Be: 0.0000 0.0000 0.0000 (multiplicity 1)  12 W 3.35
Os: 0.5000 0.5000 0.5000 (multiplicity 1)  6 W 2.37
W: 0.0000 0.5000 0.5000 (multiplicity 3)  2 Os 2.37

- Which formula does entry 2 have?
  Pm2SnCl2